The following is a DFT calculation (PBE+U) of a geometry-optimized Ba2VAs2O6 structure.

a b c (Å): 6.127 6.127 6.460
angles (deg): 61.69 61.69 60.00
Last column: magnetic moment on the atom in μB.
Atoms (fractional coordinates):
1 Ba 0.782 0.782 0.655  -0.01
2 Ba 0.218 0.218 0.345  -0.01
3 V 0.000 0.000 0.000  1.93
4 As 0.421 0.421 0.738  -0.05
5 As 0.579 0.579 0.262  -0.05
6 O 0.766 0.766 0.248  -0.06
7 O 0.219 0.766 0.248  -0.06
8 O 0.766 0.219 0.248  -0.06
9 O 0.234 0.781 0.752  -0.06
10 O 0.781 0.234 0.752  -0.06
11 O 0.234 0.234 0.752  -0.06

Results
SG	R-3m (166)
final energy	-6.31	eV per atom
magnetization	1.48	μB/f.u.